A relaxed LiInO2 crystal, computed with PBE.

The structure in extended XYZ format:
```
4
Lattice="-1.130 -2.417 -1.756 1.952 -2.355 -0.920 -0.893 -4.318 3.614" Properties=species:S:1:pos:R:3 pbc="T T T"
Li -0.066 -4.615 0.585
In -0.341 -7.489 1.813
O -0.613 -3.664 2.534
O 0.020 -2.185 0.090
```

## Properties
Uncorrected energy in eV per atom: -5.269
Total magnetic moment in μB per cell: 0.00